Arrangement P

A geometry-optimized TbPm2Th structure. Source: Alexandria, functional PBE.

Properties
The magnetic moment comes out at 0.002 μB per cell. As for the space-group type: R3m, No. 160. As for the crystal system: trigonal.

abc: 3.628 3.628 11.863
angles: 81.20 81.20 60.00
Fractional coordinates of all 4 atoms:
Th (0.667, 0.667, 0.000)
Pm (0.251, 0.251, 0.246)
Pm (0.082, 0.082, 0.754)
Tb (0.500, 0.500, 0.499)



Arrangement Q

A geometry-optimized TbPm2Th structure. Source: Alexandria, functional PBE.

Properties
The magnetic moment comes out at 0.005 μB per cell. As for the space-group type: Fm-3m, No. 225. As for the crystal system: cubic.

abc: 5.736 5.736 5.736
angles: 60.00 60.00 60.00
Fractional coordinates of all 4 atoms:
Pm (0.750, 0.750, 0.750)
Pm (0.250, 0.250, 0.250)
Th (0.500, 0.500, 0.500)
Tb (0.000, 0.000, 0.000)



It is arrangement Q that is the least stable of them.



Arrangement P

A geometry-optimized TbPm2Th structure. Source: Alexandria, functional PBE.

Properties
The magnetic moment comes out at 0.334 μB per cell. As for the space-group type: R-3m, No. 166. As for the crystal system: trigonal.

abc: 3.552 3.552 12.623
angles: 81.91 81.91 60.00
Site moments in Bohr magnetons follow the coordinates.
Fractional coordinates of all 4 atoms:
Tb (0.000, 0.000, 0.000)  0.16
Pm (0.909, 0.909, 0.272)  0.02
Th (0.500, 0.500, 0.500)  0.00
Pm (0.091, 0.091, 0.728)  0.02



Arrangement Q

A geometry-optimized TbPm2Th structure. Source: Alexandria, functional PBE.

Properties
The magnetic moment comes out at 0.000 μB per cell. As for the space-group type: P4/mmm, No. 123. As for the crystal system: tetragonal.

abc: 3.612 3.612 10.226
angles: 90.00 90.00 90.00
Fractional coordinates of all 4 atoms:
Th (0.500, 0.500, 0.000)
Tb (0.500, 0.500, 0.500)
Pm (0.000, 0.000, 0.243)
Pm (0.000, 0.000, 0.757)



It is arrangement P that is the least stable of them.



Arrangement P

A geometry-optimized TbPm2Th structure. Source: Alexandria, functional PBE.

Properties
The magnetic moment comes out at 0.000 μB per cell. As for the space-group type: C2/c, No. 15. As for the crystal system: monoclinic.

abc: 7.191 6.274 7.205
angles: 106.64 119.94 90.00
Fractional coordinates of all 8 atoms:
Pm (0.879, 0.252, 0.505)
Pm (0.374, 0.248, 0.495)
Tb (0.372, 0.250, 0.000)
Th (0.883, 0.250, 0.000)
Pm (0.626, 0.752, 0.505)
Th (0.117, 0.750, 0.000)
Tb (0.628, 0.750, 0.000)
Pm (0.121, 0.748, 0.495)



Arrangement Q

A geometry-optimized TbPm2Th structure. Source: Alexandria, functional PBE.

Properties
The magnetic moment comes out at 0.000 μB per cell. As for the space-group type: P-1, No. 2. As for the crystal system: triclinic.

abc: 3.639 15.861 13.233
angles: 61.59 114.51 156.60
Fractional coordinates of all 8 atoms:
Tb (0.050, 0.546, 0.743)
Th (0.000, 0.500, 0.500)
Th (0.500, 0.000, 0.500)
Pm (0.545, 0.045, 0.744)
Pm (0.758, 0.253, 0.998)
Pm (0.242, 0.747, 0.002)
Tb (0.950, 0.454, 0.257)
Pm (0.455, 0.955, 0.256)



It is arrangement P that is the least stable of them.



Arrangement P

A geometry-optimized Tb2PmTh2 structure. Source: Alexandria, functional PBE.

Properties
The magnetic moment comes out at 0.000 μB per cell. As for the space-group type: R-3m, No. 166. As for the crystal system: trigonal.

abc: 3.591 3.591 14.733
angles: 83.00 83.00 60.00
Fractional coordinates of all 5 atoms:
Pm (0.000, 0.000, 0.000)
Th (0.801, 0.801, 0.597)
Tb (0.599, 0.599, 0.204)
Th (0.199, 0.199, 0.403)
Tb (0.401, 0.401, 0.796)



Arrangement Q

A geometry-optimized Tb2PmTh2 structure. Source: Alexandria, functional PBE.

Properties
The magnetic moment comes out at 0.000 μB per cell. As for the space-group type: P-3m1, No. 164. As for the crystal system: trigonal.

abc: 3.580 3.580 14.694
angles: 90.00 90.00 120.00
Fractional coordinates of all 5 atoms:
Tb (0.333, 0.667, 0.299)
Th (0.667, 0.333, 0.098)
Tb (0.667, 0.333, 0.701)
Pm (0.000, 0.000, 0.500)
Th (0.333, 0.667, 0.902)



It is arrangement Q that is the least stable of them.



Arrangement P

A geometry-optimized TbPmTh structure. Source: Alexandria, functional PBE.

Properties
The magnetic moment comes out at 0.000 μB per cell. As for the space-group type: P3m1, No. 156. As for the crystal system: trigonal.

abc: 3.598 3.598 8.807
angles: 90.00 90.00 120.00
Fractional coordinates of all 3 atoms:
Pm (0.000, 0.000, 0.992)
Th (0.333, 0.667, 0.664)
Tb (0.667, 0.333, 0.344)



Arrangement Q

A geometry-optimized TbPmTh structure. Source: Alexandria, functional PBE.

Properties
The magnetic moment comes out at 0.000 μB per cell. As for the space-group type: P4/nmm, No. 129. As for the crystal system: tetragonal.

abc: 3.602 3.602 15.243
angles: 90.00 90.00 89.96
Fractional coordinates of all 6 atoms:
Th (0.818, 0.818, 0.672)
Pm (0.318, 0.318, 0.166)
Tb (0.818, 0.818, 0.994)
Pm (0.818, 0.818, 0.337)
Tb (0.318, 0.318, 0.509)
Th (0.318, 0.318, 0.831)



It is arrangement P that is the least stable of them.



Arrangement P

A geometry-optimized TbPmTh2 structure. Source: Alexandria, functional PBE.

Properties
The magnetic moment comes out at 0.000 μB per cell. As for the space-group type: P4/mmm, No. 123. As for the crystal system: tetragonal.

abc: 5.164 5.024 5.024
angles: 90.00 90.00 90.00
Fractional coordinates of all 4 atoms:
Th (0.000, 0.500, 0.000)
Pm (0.500, 0.000, 0.000)
Th (0.000, 0.000, 0.500)
Tb (0.500, 0.500, 0.500)



Arrangement Q

A geometry-optimized TbPmTh2 structure. Source: Alexandria, functional PBE.

Properties
The magnetic moment comes out at 0.000 μB per cell. As for the space-group type: C2/c, No. 15. As for the crystal system: monoclinic.

abc: 10.195 10.195 3.445
angles: 84.17 84.17 127.71
Fractional coordinates of all 8 atoms:
Th (0.078, 0.241, 0.883)
Tb (0.593, 0.407, 0.750)
Tb (0.407, 0.593, 0.250)
Th (0.922, 0.759, 0.117)
Pm (0.500, 0.000, 0.500)
Pm (0.000, 0.500, 0.000)
Th (0.241, 0.078, 0.383)
Th (0.759, 0.922, 0.617)



It is arrangement Q that is the least stable of them.



Arrangement P

A geometry-optimized TbPmTh2 structure. Source: Alexandria, functional PBE.

Properties
The magnetic moment comes out at 0.000 μB per cell. As for the space-group type: P2_1/m, No. 11. As for the crystal system: monoclinic.

abc: 5.061 5.086 11.361
angles: 90.00 116.32 90.00
Fractional coordinates of all 8 atoms:
Pm (0.367, 0.250, 0.368)
Tb (0.867, 0.750, 0.367)
Th (0.620, 0.250, 0.120)
Th (0.121, 0.750, 0.121)
Th (0.380, 0.750, 0.880)
Pm (0.633, 0.750, 0.632)
Tb (0.133, 0.250, 0.633)
Th (0.879, 0.250, 0.879)



Arrangement Q

A geometry-optimized TbPmTh2 structure. Source: Alexandria, functional PBE.

Properties
The magnetic moment comes out at 0.000 μB per cell. As for the space-group type: P4/mmm, No. 123. As for the crystal system: tetragonal.

abc: 3.563 3.563 10.293
angles: 90.00 90.00 90.00
Fractional coordinates of all 4 atoms:
Th (0.000, 0.000, 0.247)
Tb (0.500, 0.500, 0.000)
Th (0.000, 0.000, 0.753)
Pm (0.500, 0.500, 0.500)



It is arrangement Q that is the least stable of them.



Arrangement P

A geometry-optimized TbPmTh2 structure. Source: Alexandria, functional PBE.

Properties
The magnetic moment comes out at 0.000 μB per cell. As for the space-group type: R3m, No. 160. As for the crystal system: trigonal.

abc: 3.584 3.584 11.907
angles: 81.34 81.34 60.00
Fractional coordinates of all 4 atoms:
Th (0.083, 0.083, 0.752)
Pm (0.498, 0.498, 0.505)
Th (0.251, 0.251, 0.247)
Tb (0.668, 0.668, 0.995)



Arrangement Q

A geometry-optimized TbPmTh2 structure. Source: Alexandria, functional PBE.

Properties
The magnetic moment comes out at 0.000 μB per cell. As for the space-group type: R-3m, No. 166. As for the crystal system: trigonal.

abc: 3.509 3.509 12.608
angles: 82.00 82.00 60.00
Fractional coordinates of all 4 atoms:
Th (0.088, 0.088, 0.736)
Th (0.912, 0.912, 0.264)
Pm (0.000, 0.000, 0.000)
Tb (0.500, 0.500, 0.500)



Arrangement R

A geometry-optimized TbPmTh2 structure. Source: Alexandria, functional PBE.

Properties
The magnetic moment comes out at 0.000 μB per cell. As for the space-group type: Fm-3m, No. 225. As for the crystal system: cubic.

abc: 5.692 5.692 5.692
angles: 60.00 60.00 60.00
Fractional coordinates of all 4 atoms:
Pm (0.500, 0.500, 0.500)
Tb (0.000, 0.000, 0.000)
Th (0.250, 0.250, 0.250)
Th (0.750, 0.750, 0.750)



It is arrangement Q that is the least stable of them.